(1)
Rb3USn2O9 | PBE-GGA | relaxed

For the uncorrected formation energy, the calculation gives -1943 meV/atom. As for the volume: 226 Å³/f.u. The crystal system is trigonal. The density of states at the Fermi level comes out at 0.3884 states/eV/atom. The calculation puts the raw total energy at -6.40 eV per atom.

The structure belongs to space group P-3m1 (No. 164); the cell edges are 5.9695, 5.9695 and 7.3357 Å and the angles 90.00°, 90.00° and 120.00°. The inequivalent atoms are Rb at (0.0000, 0.0000, 0.0000), Rb at (0.3333, 0.6667, 0.6716), U at (0.0000, 0.0000, 0.5000), Sn at (0.3333, 0.6667, 0.1632), O at (0.0000, 0.5000, 0.0000) and O at (0.1658, 0.3316, 0.3342).

(2)
Mg2AgSnSb | PBE-GGA | relaxed

For the uncorrected formation energy, the calculation gives 245 meV/atom. As for the volume: 140 Å³/f.u. The crystal system is tetragonal. The density of states at the Fermi level comes out at 0.6145 states/eV/atom. The calculation puts the raw total energy at -2.59 eV per atom.

The structure belongs to space group P4/mmm (No. 123); the cell edges are 5.080, 5.080 and 5.416 Å and the angles 90.00°, 90.00° and 90.00°. The inequivalent atoms are Mg at (0.000, 0.500, 0.000), Ag at (0.000, 0.000, 0.000), Sn at (0.500, 0.500, 0.500) and Sb at (0.000, 0.000, 0.500).

(3)
LaTb3Nd2Y6 | PBE-GGA | relaxed

As for the volume: 396 Å³/f.u. The crystal system is monoclinic. The density of states at the Fermi level comes out at 1.3507 states/eV/atom. The calculation puts the raw total energy at -5.58 eV per atom.

The structure belongs to space group C2/m (No. 12); the cell edges are 6.251, 10.822 and 11.885 Å and the angles 90.00°, 100.06° and 90.00°. The inequivalent atoms are La at (0.000, 0.000, 0.000), Tb at (0.000, 0.167, 0.500), Tb at (0.000, 0.500, 0.500), Nd at (0.000, 0.333, 0.000), Y at (0.248, 0.333, 0.746) and Y at (0.249, 0.000, 0.746).

What is the raw total energy in the second record? -2.59 eV per atom

The lowest raw total energy belongs to which entry? Rb3USn2O9

Among the records above, which one has the lowest volume? Mg2AgSnSb

The highest volume belongs to which entry? LaTb3Nd2Y6